1.
K3In2Hg9 | PBE-GGA | relaxed

Crystal system: orthorhombic
ΔE_f: -0.1920 eV per atom
DOS at the Fermi energy: 0.46 states/eV per atom

Lattice parameters (Å, degrees): 5.3413 9.6404 9.6404 64.31 73.92 73.92
Fractional coordinates of all 14 atoms:
1 K 0.0000 0.0000 0.0000
2 K 0.7169 0.2831 0.2831
3 K 0.2831 0.7169 0.7169
4 In 0.5000 0.3318 0.6682
5 In 0.5000 0.6682 0.3318
6 Hg 0.0000 0.5000 0.5000
7 Hg 0.6567 0.9898 0.6969
8 Hg 0.3433 0.0102 0.3031
9 Hg 0.6567 0.6969 0.9898
10 Hg 0.3433 0.3031 0.0102
11 Hg 0.8551 0.8499 0.4399
12 Hg 0.1449 0.1501 0.5601
13 Hg 0.8551 0.4399 0.8499
14 Hg 0.1449 0.5601 0.1501

---

2.
TbNbCo | PBE-GGA | relaxed

Crystal system: tetragonal
ΔE_f: 0.1325 eV per atom
DOS at the Fermi energy: 1.08 states/eV per atom

Lattice parameters (Å, degrees): 4.5862 3.2413 10.7897 90.00 90.00 135.03
Fractional coordinates of all 6 atoms:
1 Co 0.6946 0.3891 0.0000
2 Co 0.1941 0.3882 0.5000
3 Tb 0.6943 0.3887 0.3411
4 Tb 0.6943 0.3887 0.6589
5 Nb 0.1946 0.3892 0.8693
6 Nb 0.1946 0.3892 0.1307

---

3.
La4Sm7Tm | PBE-GGA | relaxed

Crystal system: monoclinic
ΔE_f: 0.2418 eV per atom
Offset from the most stable computed form: 0.222 eV/atom
DOS at the Fermi energy: 1.74 states/eV per atom

Lattice parameters (Å, degrees): 6.0914 11.9795 6.8186 83.92 63.47 75.27
Fractional coordinates of all 12 atoms:
1 La 0.6413 0.2214 0.4961
2 La 0.3587 0.7786 0.5039
3 La 0.7852 0.6617 0.7678
4 La 0.2148 0.3383 0.2322
5 Sm 0.7873 0.9236 0.5019
6 Sm 0.2127 0.0764 0.4981
7 Sm 0.0712 0.6944 0.1633
8 Sm 0.9288 0.3056 0.8367
9 Sm 0.3667 0.4952 0.7715
10 Sm 0.5000 0.0000 0.0000
11 Sm 0.6333 0.5048 0.2285
12 Tm 0.0000 0.0000 0.0000

---

4.
ZrCdGaPt | PBE-GGA | relaxed

Crystal system: cubic
ΔE_f: -0.5230 eV per atom
DOS at the Fermi energy: 0.62 states/eV per atom

Lattice parameters (Å, degrees): 4.7037 4.7037 4.7037 60.00 60.00 60.00
Fractional coordinates of all 4 atoms:
1 Ga 0.2500 0.2500 0.2500
2 Zr 0.5000 0.5000 0.5000
3 Pt 0.7500 0.7500 0.7500
4 Cd 0.0000 0.0000 0.0000

---

5.
CrOsSe2 | PBE-GGA | relaxed

Formation energy from raw total energies: 0.61 eV/atom
Crystal system: orthorhombic
Offset from the most stable computed form: 0.677 eV/atom
DOS at the Fermi energy: 0.89 states/eV per atom

Lattice parameters (Å, degrees): 4.3213 4.8381 4.3255 66.50 83.79 113.47
Fractional coordinates of all 4 atoms:
1 Cr 0.0000 0.5000 0.5000
2 Os 0.5000 0.5000 0.0000
3 Se 0.0000 0.0000 0.0000
4 Se 0.5000 0.0000 0.5000

---

6.
HoTmBeRh | PBE-GGA | relaxed

Crystal system: cubic
ΔE_f: -0.4155 eV per atom
DOS at the Fermi energy: 0.44 states/eV per atom

Lattice parameters (Å, degrees): 4.7987 4.7987 4.7987 60.00 60.00 60.00
Fractional coordinates of all 4 atoms:
1 Be 0.0000 0.0000 0.0000
2 Tm 0.7500 0.7500 0.7500
3 Rh 0.5000 0.5000 0.5000
4 Ho 0.2500 0.2500 0.2500

---

7.
AcPrHSe2 | PBE-GGA | relaxed

Crystal system: tetragonal
DOS at the Fermi energy: 0.53 states/eV per atom

Lattice parameters (Å, degrees): 4.1565 4.1565 15.1513 90.00 90.00 90.00
Fractional coordinates of all 10 atoms:
1 Ac 0.5000 0.0000 0.1343
2 Ac 0.0000 0.5000 0.8657
3 Pr 0.5000 0.0000 0.5934
4 Pr 0.0000 0.5000 0.4066
5 H 0.0000 0.0000 0.5000
6 H 0.5000 0.5000 0.5000
7 Se 0.0000 0.5000 0.6612
8 Se 0.0000 0.5000 0.0839
9 Se 0.5000 0.0000 0.9161
10 Se 0.5000 0.0000 0.3388

---

8.
KCdGa2 | PBE-GGA | relaxed

Crystal system: monoclinic
ΔE_f: -0.1027 eV per atom
DOS at the Fermi energy: 0.38 states/eV per atom

Lattice parameters (Å, degrees): 4.5415 4.6419 10.6380 104.64 90.00 90.00
Fractional coordinates of all 8 atoms:
1 K 0.7500 0.6192 0.2259
2 K 0.2500 0.3808 0.7741
3 Cd 0.7500 0.9557 0.9113
4 Cd 0.2500 0.0443 0.0887
5 Ga 0.7500 0.2077 0.5040
6 Ga 0.2500 0.7923 0.4960
7 Ga 0.7500 0.7729 0.6370
8 Ga 0.2500 0.2271 0.3630

---

9.
K3Zr2CuS6 | PBE-GGA | relaxed

Formation energy from raw total energies: -1.26 eV/atom
Crystal system: monoclinic

Lattice parameters (Å, degrees): 6.7290 6.7290 7.5740 97.86 97.86 121.83
Fractional coordinates of all 12 atoms:
1 K 0.1584 0.8416 0.5000
2 K 0.8416 0.1584 0.5000
3 K 0.5000 0.5000 0.5000
4 Zr 0.3325 0.6675 0.0000
5 Zr 0.6675 0.3325 0.0000
6 Cu 0.0000 0.0000 0.0000
7 S 0.9372 0.5824 0.8000
8 S 0.7344 0.7344 0.1809
9 S 0.0628 0.4176 0.2000
10 S 0.5824 0.9372 0.8000
11 S 0.2656 0.2656 0.8191
12 S 0.4176 0.0628 0.2000

---

10.
Li4SiPt | PBE-GGA | relaxed

Formation energy from raw total energies: -0.21 eV/atom
Crystal system: cubic
Offset from the most stable computed form: 0.280 eV/atom
DOS at the Fermi energy: 0.17 states/eV per atom

Lattice parameters (Å, degrees): 4.7072 4.7072 4.7072 60.00 60.00 60.00
Fractional coordinates of all 6 atoms:
1 Li 0.8709 0.3764 0.3764
2 Li 0.3764 0.3764 0.8709
3 Li 0.3764 0.8709 0.3764
4 Li 0.3764 0.3764 0.3764
5 Si 0.0000 0.0000 0.0000
6 Pt 0.7500 0.7500 0.7500

---

11.
Tb3Al9Co2 | PBE-GGA | relaxed

Crystal system: orthorhombic
ΔE_f: -0.4780 eV per atom
DOS at the Fermi energy: 0.41 states/eV per atom

Lattice parameters (Å, degrees): 4.2790 8.0646 8.0646 73.79 74.62 74.62
Fractional coordinates of all 14 atoms:
1 Tb 0.0000 0.0000 0.0000
2 Tb 0.6985 0.3015 0.3015
3 Tb 0.3015 0.6985 0.6985
4 Al 0.0000 0.5000 0.5000
5 Al 0.6490 0.9914 0.7107
6 Al 0.3510 0.0086 0.2893
7 Al 0.6490 0.7107 0.9914
8 Al 0.3510 0.2893 0.0086
9 Al 0.8750 0.8416 0.4083
10 Al 0.1250 0.1584 0.5917
11 Al 0.8750 0.4083 0.8416
12 Al 0.1250 0.5917 0.1584
13 Co 0.5000 0.3198 0.6802
14 Co 0.5000 0.6802 0.3198

---

12.
Si2TeIr | PBE-GGA | relaxed

Formation energy from raw total energies: 0.09 eV/atom
Crystal system: trigonal
DOS at the Fermi energy: 0.49 states/eV per atom

Lattice parameters (Å, degrees): 6.2051 6.2051 6.2051 36.77 36.77 36.77
Fractional coordinates of all 4 atoms:
1 Ir 0.7267 0.7267 0.7267
2 Si 0.0092 0.0092 0.0092
3 Si 0.2782 0.2782 0.2782
4 Te 0.4859 0.4859 0.4859

---

Number 1: VASP energy -14.2 eV per cell. Number 2: VASP energy -42.8 eV per cell. Number 3: VASP energy -54.3 eV per cell. Number 4: VASP energy -20.6 eV per cell. Number 5: VASP energy -25.4 eV per cell. Number 6: VASP energy -21.8 eV per cell. Number 7: VASP energy -52.9 eV per cell. Number 8: VASP energy -17.0 eV per cell. Number 9: VASP energy -64.3 eV per cell. Number 10: VASP energy -20.4 eV per cell. Number 11: VASP energy -68.5 eV per cell. Number 12: VASP energy -22.5 eV per cell.